Density functional theory data (PBE) for TlSbP2O8 after structural relaxation.

Cell: 4.8781 4.8781 8.9930 Å, 90.00 90.00 120.00°
Closest atoms and distances in Å follow each position.
Positions (direct):
Tl: 0.0000 0.0000 0.0000  6 O 3.07
Sb: 0.0000 0.0000 0.5000  6 O 1.99
P: 0.3333 0.6667 0.6967  4 O 1.50-1.58
P: 0.6667 0.3333 0.3033  4 O 1.50-1.58
O: 0.0524 0.3498 0.6325  1 P 1.58
O: 0.2974 0.9476 0.6325  1 P 1.58
O: 0.3333 0.6667 0.8631  1 P 1.50
O: 0.3498 0.2974 0.3675  1 P 1.58
O: 0.6502 0.7026 0.6325  1 P 1.58
O: 0.6667 0.3333 0.1369  1 P 1.50
O: 0.7026 0.0524 0.3675  1 P 1.58
O: 0.9476 0.6502 0.3675  1 P 1.58

Properties
As for the symmetry: P-3, No. 147. Its uncorrected formation energy is -21.85 eV per formula unit. The crystal system is trigonal.